Sc2Bi2Au GGA-PBE optimized geometry; energy relative to the lowest polymorph listed for this composition = 1.887 eV/f.u.; space group = No. 139; crystal system = tetragonal; formation energy = -29 kJ/mol of formula units; VASP energy = -48.00 eV/cell
1.0
4.316 0.000 0.000
0.000 4.316 0.000
0.000 0.000 14.893
Sc Bi Au
4 4 2
Cartesian
0.000 0.000 1.446 Sc
0.000 0.000 13.447 Sc
2.158 2.158 6.001 Sc
2.158 2.158 8.892 Sc
0.000 2.158 3.723 Bi
0.000 2.158 11.170 Bi
2.158 0.000 3.723 Bi
2.158 0.000 11.170 Bi
0.000 0.000 7.447 Au
2.158 2.158 0.000 Au

---

Sc2BiAu2 GGA-PBE optimized geometry; energy relative to the lowest polymorph listed for this composition = 0.000 eV/f.u.; space group = No. 127; crystal system = tetragonal; formation energy = -323 kJ/mol of formula units; VASP energy = -52.88 eV/cell
1.0
7.904 0.000 0.000
0.000 7.904 0.000
0.000 0.000 3.516
Sc Bi Au
4 2 4
Cartesian
1.288 2.664 0.000 Sc
2.664 6.616 0.000 Sc
5.240 1.288 0.000 Sc
6.616 5.240 0.000 Sc
0.000 0.000 1.758 Bi
3.952 3.952 1.758 Bi
1.015 4.967 1.758 Au
2.938 1.015 1.758 Au
4.967 6.890 1.758 Au
6.890 2.938 1.758 Au

---

ScBiAu4 GGA-PBE optimized geometry; energy relative to the lowest polymorph listed for this composition = 0.380 eV/f.u.; space group = No. 216; crystal system = cubic; formation energy = -157 kJ/mol of formula units; VASP energy = -24.95 eV/cell
1.0
0.000 3.982 3.982
3.982 0.000 3.982
3.982 3.982 0.000
Sc Bi Au
1 1 4
Cartesian
0.000 0.000 0.000 Sc
5.972 5.972 5.972 Bi
2.982 2.982 2.982 Au
4.981 4.981 2.982 Au
4.981 2.982 4.981 Au
2.982 4.981 4.981 Au